(1)
Entry from Alexandria: crystalline TbDy2ErTm2 at its relaxed geometry (PBE-GGA).

Geometry as CIF:
```
data_TbDy2ErTm2
_symmetry_space_group_name_H-M 'P n n m'
_symmetry_Int_Tables_number 58
_cell_length_a 6.539
_cell_length_b 17.376
_cell_length_c 3.339
_cell_angle_alpha 90.00
_cell_angle_beta 90.00
_cell_angle_gamma 90.00
loop_
_symmetry_equiv_pos_as_xyz
'x,y,z'
'-x,-y,-z'
'-x,-y,z'
'x,y,-z'
'x+1/2,-y+1/2,-z+1/2'
'-x+1/2,y+1/2,z+1/2'
'-x+1/2,y+1/2,-z+1/2'
'x+1/2,-y+1/2,z+1/2'
loop_
_atom_site_label
_atom_site_fract_x
_atom_site_fract_y
_atom_site_fract_z
Tb1 0.000 0.000 0.000
Dy1 0.234 0.150 0.500
Er1 0.000 0.500 0.000
Tm1 0.237 0.320 0.000
```

Calculated values
For the magnetization, the calculation gives 0.0 Bohr magnetons per cell. The calculation puts the density of states at the Fermi level at 16.93 states/eV per cell. For the electronic total energy, the calculation gives -0.1571 Ha/atom.


(2)
Entry from Alexandria: crystalline TbDyEr5Tm2 at its relaxed geometry (PBE-GGA).

Geometry as CIF:
```
data_TbDyEr5Tm2
_symmetry_space_group_name_H-M 'C m c 21'
_symmetry_Int_Tables_number 36
_cell_length_a 5.524
_cell_length_b 19.603
_cell_length_c 10.448
_cell_angle_alpha 90.00
_cell_angle_beta 90.00
_cell_angle_gamma 90.00
loop_
_symmetry_equiv_pos_as_xyz
'x,y,z'
'-x,-y,z+1/2'
'-x,y,z'
'x,-y,z+1/2'
'x+1/2,y+1/2,z'
'-x+1/2,-y+1/2,z+1/2'
'-x+1/2,y+1/2,z'
'x+1/2,-y+1/2,z+1/2'
loop_
_atom_site_label
_atom_site_fract_x
_atom_site_fract_y
_atom_site_fract_z
Tb1 0.000 0.200 0.000
Dy1 0.000 0.414 0.442
Er1 0.000 0.018 0.014
Er2 0.000 0.281 0.297
Er3 0.000 0.300 0.697
Er4 0.000 0.391 0.012
Er5 0.000 0.479 0.726
Tm1 0.000 0.109 0.726
Tm2 0.000 0.113 0.307
```

Calculated values
For the magnetization, the calculation gives 0.0 Bohr magnetons per cell. The calculation puts the density of states at the Fermi level at 57.14 states/eV per cell. For the electronic total energy, the calculation gives -0.1614 Ha/atom.


(3)
Entry from Alexandria: crystalline Tb2Dy2ErTm2 at its relaxed geometry (PBE-GGA).

Geometry as CIF:
```
data_Tb2Dy2ErTm2
_symmetry_space_group_name_H-M 'R -3 m'
_symmetry_Int_Tables_number 166
_symmetry_space_group_name_Hall '-R 3 2"'
_cell_length_a 5.6035
_cell_length_b 5.6035
_cell_length_c 24.2031
_cell_angle_alpha 90.00
_cell_angle_beta 90.00
_cell_angle_gamma 120.00
loop_
_atom_site_label
_atom_site_fract_x
_atom_site_fract_y
_atom_site_fract_z
Tb1 0.0000 0.0000 0.1405
Dy1 0.0000 0.0000 0.2854
Er1 0.0000 0.0000 0.0000
Tm1 0.0000 0.0000 0.4289
```

Calculated values
For the magnetization, the calculation gives 0.0 Bohr magnetons per cell. The calculation puts the density of states at the Fermi level at 50.12 states/eV per cell. For the electronic total energy, the calculation gives -0.1627 Ha/atom.


(4)
Entry from Alexandria: crystalline TbDy2Er3Tm6 at its relaxed geometry (PBE-GGA).

Geometry as CIF:
```
data_TbDy2Er3Tm6
_symmetry_space_group_name_H-M 'C 1 2/m 1'
_symmetry_Int_Tables_number 12
_cell_length_a 6.067
_cell_length_b 10.493
_cell_length_c 11.591
_cell_angle_alpha 90.00
_cell_angle_beta 100.02
_cell_angle_gamma 90.00
loop_
_symmetry_equiv_pos_as_xyz
'x,y,z'
'-x,-y,-z'
'-x,y,-z'
'x,-y,z'
'x+1/2,y+1/2,z'
'-x+1/2,-y+1/2,-z'
'-x+1/2,y+1/2,-z'
'x+1/2,-y+1/2,z'
loop_
_atom_site_label
_atom_site_fract_x
_atom_site_fract_y
_atom_site_fract_z
Tb1 0.000 0.000 0.000
Dy1 0.000 0.333 0.000
Er1 0.000 0.167 0.500
Er2 0.000 0.500 0.500
Tm1 0.249 0.000 0.749
Tm2 0.249 0.333 0.749
```

Calculated values
For the magnetization, the calculation gives 0.0 Bohr magnetons per cell. The calculation puts the density of states at the Fermi level at 33.51 states/eV per cell. For the electronic total energy, the calculation gives -0.1656 Ha/atom.


Look up the density of states at the Fermi level of the third one. 50.12 states/eV per cell


What is the electronic total energy in the third record? -0.1627 Ha/atom


Among the records above, which one has the highest electronic total energy? TbDy2ErTm2